Record 1
# CrSbTe (PBE-GGA, relaxed)
data_CrSbTe
_symmetry_space_group_name_H-M 'F -4 3 m'
_symmetry_Int_Tables_number 216
_symmetry_space_group_name_Hall 'F -4 2 3'
_cell_length_a 6.677
_cell_length_b 6.677
_cell_length_c 6.677
_cell_angle_alpha 90.00
_cell_angle_beta 90.00
_cell_angle_gamma 90.00
loop_
_atom_site_label
_atom_site_fract_x
_atom_site_fract_y
_atom_site_fract_z
Cr1 0.000 0.000 0.000
Sb1 0.250 0.250 0.750
Te1 0.250 0.250 0.250
# uncorrected formation energy: 0.155 eV per atom
# DOS(E_F): 0.976 states/eV per atom
# relative energy among the computed polymorphs: 0.069 eV per atom
# spin magnetization: 2.88 μB per formula unit

Record 2
# CrSbTe2 (PBE-GGA, relaxed)
data_CrSbTe2
_symmetry_space_group_name_H-M 'C 1 m 1'
_symmetry_Int_Tables_number 8
_symmetry_space_group_name_Hall 'C -2y'
_cell_length_a 10.053
_cell_length_b 3.372
_cell_length_c 7.094
_cell_angle_alpha 90.00
_cell_angle_beta 102.07
_cell_angle_gamma 90.00
loop_
_atom_site_label
_atom_site_fract_x
_atom_site_fract_y
_atom_site_fract_z
Cr1 0.000 0.000 0.000
Sb1 0.224 0.500 0.015
Te1 0.065 0.500 0.311
Te2 0.381 0.000 0.712
# uncorrected formation energy: 0.074 eV per atom
# DOS(E_F): 0.517 states/eV per atom
# relative energy among the computed polymorphs: 0.084 eV per atom
# spin magnetization: 2.22 μB per formula unit

Record 3
# CrSbTe2 (PBE-GGA, relaxed)
data_CrSbTe2
_symmetry_space_group_name_H-M 'P m m m'
_symmetry_Int_Tables_number 47
_symmetry_space_group_name_Hall '-P 2 2'
_cell_length_a 3.547
_cell_length_b 5.198
_cell_length_c 5.507
_cell_angle_alpha 90.00
_cell_angle_beta 90.00
_cell_angle_gamma 90.00
loop_
_atom_site_label
_atom_site_fract_x
_atom_site_fract_y
_atom_site_fract_z
Cr1 0.000 0.000 0.000
Sb1 0.500 0.000 0.500
Te1 0.000 0.500 0.500
Te2 0.500 0.500 0.000
# uncorrected formation energy: 0.425 eV per atom
# DOS(E_F): 0.689 states/eV per atom
# relative energy among the computed polymorphs: 0.435 eV per atom
# spin magnetization: 4.10 μB per formula unit

Record 4
# Cr2SbTe (PBE-GGA, relaxed)
data_Cr2SbTe
_symmetry_space_group_name_H-M 'A m m 2'
_symmetry_Int_Tables_number 38
_symmetry_space_group_name_Hall 'A 2 -2'
_cell_length_a 4.098
_cell_length_b 3.779
_cell_length_c 10.976
_cell_angle_alpha 90.00
_cell_angle_beta 90.00
_cell_angle_gamma 90.00
loop_
_atom_site_label
_atom_site_fract_x
_atom_site_fract_y
_atom_site_fract_z
Cr1 0.000 0.000 0.000
Cr2 0.500 0.000 0.200
Sb1 0.500 0.000 0.469
Te1 0.000 0.000 0.747
# uncorrected formation energy: 0.205 eV per atom
# DOS(E_F): 0.505 states/eV per atom
# relative energy among the computed polymorphs: 0.179 eV per atom
# spin magnetization: 7.06 μB per formula unit

Record 5
# CrSbTe (PBE-GGA, relaxed)
data_CrSbTe
_symmetry_space_group_name_H-M 'F -4 3 m'
_symmetry_Int_Tables_number 216
_symmetry_space_group_name_Hall 'F -4 2 3'
_cell_length_a 7.100
_cell_length_b 7.100
_cell_length_c 7.100
_cell_angle_alpha 90.00
_cell_angle_beta 90.00
_cell_angle_gamma 90.00
loop_
_atom_site_label
_atom_site_fract_x
_atom_site_fract_y
_atom_site_fract_z
Cr1 0.000 0.000 0.000
Sb1 0.250 0.250 0.250
Te1 0.000 0.000 0.500
# uncorrected formation energy: 0.682 eV per atom
# DOS(E_F): 0.761 states/eV per atom
# relative energy among the computed polymorphs: 0.596 eV per atom
# spin magnetization: 4.33 μB per formula unit

Record 6
# CrSbTe2 (PBE-GGA, relaxed)
data_CrSbTe2
_symmetry_space_group_name_H-M 'I -4 2 d'
_symmetry_Int_Tables_number 122
_symmetry_space_group_name_Hall 'I -4 2bw'
_cell_length_a 6.744
_cell_length_b 6.744
_cell_length_c 11.289
_cell_angle_alpha 90.00
_cell_angle_beta 90.00
_cell_angle_gamma 90.00
loop_
_atom_site_label
_atom_site_fract_x
_atom_site_fract_y
_atom_site_fract_z
Cr1 0.000 0.000 0.000
Sb1 0.000 0.000 0.500
Te1 0.179 0.250 0.125
# uncorrected formation energy: 0.509 eV per atom
# DOS(E_F): 1.593 states/eV per atom
# relative energy among the computed polymorphs: 0.519 eV per atom
# spin magnetization: 0.00 μB per formula unit